1.
{
  "formula": "Y2TeAu",
  "functional": "GGA-PBE",
  "state": "optimized geometry",
  "lattice_angstrom": [[-3.952, 3.952, 3.727], [3.952, -3.952, 3.727], [3.952, 3.952, -3.727]],
  "species": ["Y", "Y", "Y", "Y", "Te", "Te", "Au", "Au"],
  "frac_coords": [[0.105, 0.625, 0.980], [0.375, 0.355, 0.480], [0.645, 0.125, 0.020], [0.875, 0.895, 0.520], [0.250, 0.750, 0.500], [0.500, 0.500, 0.000], [0.000, 0.000, 0.000], [0.750, 0.250, 0.500]],
  "e_tot_ev_per_atom": -5.6165,
  "sg": "No. 122",
  "raw_formation_energy_ev_per_atom": -0.78,
  "dos_ef_per_ev_fu": 1.4
}

---

2.
{
  "formula": "Y3TlC",
  "functional": "GGA-PBE",
  "state": "optimized geometry",
  "lattice_angstrom": [[4.932, 0.000, 0.000], [0.000, 4.932, 0.000], [0.000, 0.000, 4.932]],
  "species": ["Y", "Y", "Y", "Tl", "C"],
  "frac_coords": [[0.000, 0.000, 0.500], [0.000, 0.500, 0.000], [0.500, 0.000, 0.000], [0.500, 0.500, 0.500], [0.000, 0.000, 0.000]],
  "e_tot_ev_per_atom": -6.6885,
  "sg": "No. 221",
  "e_above_lowest_polymorph_mev_per_atom": 0,
  "formation_enthalpy_0k_ev_per_atom": -0.49,
  "dos_ef_per_ev_fu": 0.3
}

---

3.
{
  "formula": "Tb3CrSe6",
  "functional": "GGA-PBE",
  "state": "optimized geometry",
  "lattice_angstrom": [[5.813, 3.356, 4.661], [-5.813, 3.356, 4.661], [0.000, -6.713, 4.661]],
  "species": ["Tb", "Tb", "Tb", "Tb", "Tb", "Tb", "Cr", "Cr", "Se", "Se", "Se", "Se", "Se", "Se", "Se", "Se", "Se", "Se", "Se", "Se"],
  "frac_coords": [[0.071, 0.578, 0.746], [0.254, 0.929, 0.422], [0.422, 0.254, 0.929], [0.578, 0.746, 0.071], [0.746, 0.071, 0.578], [0.929, 0.422, 0.254], [0.000, 0.000, 0.000], [0.500, 0.500, 0.500], [0.043, 0.921, 0.700], [0.079, 0.300, 0.957], [0.204, 0.577, 0.417], [0.300, 0.957, 0.079], [0.417, 0.204, 0.577], [0.423, 0.583, 0.796], [0.577, 0.417, 0.204], [0.583, 0.796, 0.423], [0.700, 0.043, 0.921], [0.796, 0.423, 0.583], [0.921, 0.700, 0.043], [0.957, 0.079, 0.300]],
  "e_tot_ev_per_atom": -5.9315,
  "sg": "No. 148",
  "raw_formation_energy_ev_per_atom": -1.49
}

---

4.
{
  "formula": "KSc2Cu",
  "functional": "GGA-PBE",
  "state": "optimized geometry",
  "lattice_angstrom": [[-1.737, 1.790, 9.783], [1.737, -1.790, 9.783], [1.737, 1.790, -9.783]],
  "species": ["K", "Sc", "Sc", "Cu"],
  "frac_coords": [[0.000, 0.000, 0.000], [0.671, 0.671, 0.000], [0.817, 0.317, 0.500], [0.270, 0.770, 0.500]],
  "e_tot_ev_per_atom": -4.1567,
  "sg": "No. 44",
  "e_above_lowest_polymorph_mev_per_atom": 120,
  "formation_enthalpy_0k_ev_per_atom": 0.31,
  "dos_ef_per_ev_fu": 4.6
}

---

5.
{
  "formula": "ZrW3",
  "functional": "GGA-PBE",
  "state": "optimized geometry",
  "lattice_angstrom": [[4.866, 0.000, 0.000], [0.000, 4.866, 0.000], [0.000, 0.000, 4.866]],
  "species": ["Zr", "W", "W", "W"],
  "frac_coords": [[0.000, 0.000, 0.000], [0.000, 0.000, 0.500], [0.000, 0.500, 0.000], [0.500, 0.000, 0.000]],
  "e_tot_ev_per_atom": -8.1495,
  "sg": "No. 221",
  "formation_enthalpy_0k_ev_per_atom": 3.70,
  "dos_ef_per_ev_fu": 6.5
}

---

6.
{
  "formula": "Zn2InCu2",
  "functional": "GGA-PBE",
  "state": "optimized geometry",
  "lattice_angstrom": [[-1.852, 1.852, 6.045], [1.852, -1.852, 6.045], [1.852, 1.852, -6.045]],
  "species": ["Zn", "Zn", "In", "Cu", "Cu"],
  "frac_coords": [[0.250, 0.750, 0.500], [0.750, 0.250, 0.500], [0.000, 0.000, 0.000], [0.398, 0.398, 0.000], [0.602, 0.602, 0.000]],
  "e_tot_ev_per_atom": -2.6128,
  "sg": "No. 139",
  "e_above_lowest_polymorph_mev_per_atom": 47,
  "formation_enthalpy_0k_ev_per_atom": 0.08,
  "dos_ef_per_ev_fu": 2.3
}